Record 1
DFT (PBE-GGA) results for a relaxed structure of Sn2GeAs.

```
data_Sn2GeAs
_space_group_name_H-M_alt 'R 3 m'
_space_group_IT_number 160
_space_group_name_Hall 'R 3 -2"'
_cell_length_a 3.9709
_cell_length_b 3.9709
_cell_length_c 21.6331
_cell_angle_alpha 90.00
_cell_angle_beta 90.00
_cell_angle_gamma 120.00
loop_
_atom_site_label
_atom_site_fract_x
_atom_site_fract_y
_atom_site_fract_z
Sn1 0.0000 0.0000 0.0000
Sn2 0.0000 0.0000 0.1688
Ge1 0.0000 0.0000 0.5837
As1 0.0000 0.0000 0.7541
```

=====

Record 2
DFT (PBE-GGA) results for a relaxed structure of SnGeAs3.

```
data_SnGeAs3
_space_group_name_H-M_alt 'C 1 2/c 1'
_space_group_IT_number 15
_space_group_name_Hall '-C 2yc'
_cell_length_a 11.958
_cell_length_b 12.303
_cell_length_c 7.182
_cell_angle_alpha 90.00
_cell_angle_beta 96.77
_cell_angle_gamma 90.00
loop_
_atom_site_label
_atom_site_fract_x
_atom_site_fract_y
_atom_site_fract_z
Sn1 0.000 0.084 0.250
Sn2 0.000 0.243 0.750
Ge1 0.180 0.416 0.242
As1 0.081 0.436 0.541
As2 0.124 0.081 0.608
As3 0.161 0.236 0.076
```

=====

Short version: total energy = -4.21, -4.43 eV per atom, in the order given.
Short version: ΔH_f (0 K) = 108.9, 82.4 meV per atom, in the order given.
Short version: M_tot = 0.00, 0.00 μB/f.u., in the order given.